(1)
## Rb3F2 (GGA-PBE)

Data for crystalline Rb3F2 at its relaxed geometry.

Cell and atoms, written as CIF:
```
data_Rb3F2
_chemical_formula_sum 'Rb18 F12'
_space_group_name_H-M_alt 'R -3 c'
_space_group_IT_number 167
_space_group_name_Hall '-R 3 2"c'
_cell_length_a 7.2296
_cell_length_b 7.2296
_cell_length_c 21.0714
_cell_angle_alpha 90.00
_cell_angle_beta 90.00
_cell_angle_gamma 120.00
loop_
_atom_site_label
_atom_site_type_symbol
_atom_site_fract_x
_atom_site_fract_y
_atom_site_fract_z
Rb1 Rb 0.0000 0.3137 0.2500
F1 F 0.0000 0.0000 0.1638
```

Output
DOS(E_F), states/eV per cell: 6.3
Total magnetic moment, μB per cell: 2.4
Uncorrected energy, eV per atom: -3.33
ΔE_f (raw), eV per atom: -2.00
Mass density, g cm⁻³: 3.1

(2)
## KPb2Se (GGA-PBE)

Data for crystalline KPb2Se at its relaxed geometry.

Cell and atoms, written as CIF:
```
data_KPb2Se
_chemical_formula_sum 'K4 Pb8 Se4'
_space_group_name_H-M_alt 'F -4 3 m'
_space_group_IT_number 216
_space_group_name_Hall 'F -4 2 3'
_cell_length_a 7.843
_cell_length_b 7.843
_cell_length_c 7.843
_cell_angle_alpha 90.00
_cell_angle_beta 90.00
_cell_angle_gamma 90.00
loop_
_atom_site_label
_atom_site_type_symbol
_atom_site_fract_x
_atom_site_fract_y
_atom_site_fract_z
K1 K 0.000 0.000 0.000
Pb1 Pb 0.000 0.000 0.500
Pb2 Pb 0.250 0.250 0.750
Se1 Se 0.250 0.250 0.250
```

Output
DOS(E_F), states/eV per cell: 9.5
Total magnetic moment, μB per cell: 0.0
Uncorrected energy, eV per atom: -3.18
ΔE_f (raw), eV per atom: -0.18
Mass density, g cm⁻³: 7.3

(3)
## Y2NiIr2 (GGA-PBE)

Data for crystalline Y2NiIr2 at its relaxed geometry.

Cell and atoms, written as CIF:
```
data_Y2NiIr2
_chemical_formula_sum 'Y4 Ni2 Ir4'
_space_group_name_H-M_alt 'P 4/m b m'
_space_group_IT_number 127
_space_group_name_Hall '-P 4 2ab'
_cell_length_a 6.784
_cell_length_b 6.784
_cell_length_c 4.259
_cell_angle_alpha 90.00
_cell_angle_beta 90.00
_cell_angle_gamma 90.00
loop_
_atom_site_label
_atom_site_type_symbol
_atom_site_fract_x
_atom_site_fract_y
_atom_site_fract_z
Y1 Y 0.177 0.323 0.000
Ni1 Ni 0.000 0.000 0.500
Ir1 Ir 0.135 0.635 0.500
```

Output
DOS(E_F), states/eV per cell: 9.1
Total magnetic moment, μB per cell: 0.0
Uncorrected energy, eV per atom: -7.80
Energy relative to the elements, eV/atom: -0.5179
Mass density, g cm⁻³: 10.5

(4)
## ScFe (GGA-PBE)

Data for crystalline ScFe at its relaxed geometry.

Cell and atoms, written as CIF:
```
data_ScFe
_chemical_formula_sum 'Sc8 Fe8'
_space_group_name_H-M_alt 'P 4/m'
_space_group_IT_number 83
_cell_length_a 8.450
_cell_length_b 8.450
_cell_length_c 4.361
_cell_angle_alpha 90.00
_cell_angle_beta 90.00
_cell_angle_gamma 90.00
loop_
_space_group_symop_operation_xyz
'x,y,z'
'-x,-y,-z'
'-y,x,z'
'y,-x,-z'
'-x,-y,z'
'x,y,-z'
'y,-x,z'
'-y,x,-z'
loop_
_atom_site_label
_atom_site_type_symbol
_atom_site_fract_x
_atom_site_fract_y
_atom_site_fract_z
Sc1 Sc 0.123 0.346 0.000
Sc2 Sc 0.132 0.683 0.500
Fe1 Fe 0.310 0.430 0.500
Fe2 Fe 0.313 0.580 0.000
```

Output
DOS(E_F), states/eV per cell: 14.6
Total magnetic moment, μB per cell: 12.3
Uncorrected energy, eV per atom: -7.25
Energy relative to the elements, eV/atom: 0.1422
Mass density, g cm⁻³: 4.3

(5)
## Al3SnAs (GGA-PBE)

Data for crystalline Al3SnAs at its relaxed geometry.

Cell and atoms, written as CIF:
```
data_Al3SnAs
_chemical_formula_sum 'Al3 Sn1 As1'
_space_group_name_H-M_alt 'P m -3 m'
_space_group_IT_number 221
_space_group_name_Hall '-P 4 2 3'
_cell_length_a 5.174
_cell_length_b 5.174
_cell_length_c 5.174
_cell_angle_alpha 90.00
_cell_angle_beta 90.00
_cell_angle_gamma 90.00
loop_
_atom_site_label
_atom_site_type_symbol
_atom_site_fract_x
_atom_site_fract_y
_atom_site_fract_z
Al1 Al 0.000 0.000 0.500
Sn1 Sn 0.000 0.000 0.000
As1 As 0.500 0.500 0.500
```

Output
DOS(E_F), states/eV per cell: 1.4
Total magnetic moment, μB per cell: 0.0
ΔE to the lowest computed polymorph, meV per atom: 434.3
Uncorrected energy, eV per atom: -3.10
Energy relative to the elements, eV/atom: 0.8718
Mass density, g cm⁻³: 3.3

(6)
## DyLuCdGa (GGA-PBE)

Data for crystalline DyLuCdGa at its relaxed geometry.

Cell and atoms, written as CIF:
```
data_DyLuCdGa
_chemical_formula_sum 'Dy4 Lu4 Cd4 Ga4'
_space_group_name_H-M_alt 'F -4 3 m'
_space_group_IT_number 216
_space_group_name_Hall 'F -4 2 3'
_cell_length_a 7.246
_cell_length_b 7.246
_cell_length_c 7.246
_cell_angle_alpha 90.00
_cell_angle_beta 90.00
_cell_angle_gamma 90.00
loop_
_atom_site_label
_atom_site_type_symbol
_atom_site_fract_x
_atom_site_fract_y
_atom_site_fract_z
Dy1 Dy 0.000 0.000 0.000
Lu1 Lu 0.000 0.000 0.500
Cd1 Cd 0.250 0.250 0.250
Ga1 Ga 0.250 0.250 0.750
```

Output
DOS(E_F), states/eV per cell: 14.7
Total magnetic moment, μB per cell: 0.0
Uncorrected energy, eV per atom: -3.69
Energy relative to the elements, eV/atom: -0.4247
Mass density, g cm⁻³: 9.1